Record 1
# RbNi2Os | Alexandria via LeMat-Bulk | PBE-GGA | optimized geometry
data_RbNi2Os
_cell_length_a 5.207
_cell_length_b 5.207
_cell_length_c 15.104
_cell_angle_alpha 90.00
_cell_angle_beta 90.00
_cell_angle_gamma 90.00
_space_group_name_H-M_alt 'I 41/a m d'
_space_group_IT_number 141
loop_
_space_group_symop_operation_xyz
'x,y,z'
'-x,-y,-z'
'-y+1/4,x+3/4,z+1/4'
'y+1/4,-x+3/4,-z+1/4'
'-x+1/2,-y,z+1/2'
'x+1/2,y,-z+1/2'
'y+1/4,-x+1/4,z+3/4'
'-y+1/4,x+1/4,-z+3/4'
'x,-y,-z'
'-x,y,z'
'-y+1/4,-x+1/4,-z+3/4'
'y+1/4,x+1/4,z+3/4'
'-x+1/2,y,-z+1/2'
'x+1/2,-y,z+1/2'
'y+1/4,x+3/4,-z+1/4'
'-y+1/4,-x+3/4,z+1/4'
'x+1/2,y+1/2,z+1/2'
'-x+1/2,-y+1/2,-z+1/2'
'-y+3/4,x+1/4,z+3/4'
'y+3/4,-x+1/4,-z+3/4'
'-x,-y+1/2,z'
'x,y+1/2,-z'
'y+3/4,-x+3/4,z+1/4'
'-y+3/4,x+3/4,-z+1/4'
'x+1/2,-y+1/2,-z+1/2'
'-x+1/2,y+1/2,z+1/2'
'-y+3/4,-x+3/4,-z+1/4'
'y+3/4,x+3/4,z+1/4'
'-x,y+1/2,-z'
'x,-y+1/2,z'
'y+3/4,x+1/4,-z+3/4'
'-y+3/4,-x+1/4,z+3/4'
loop_
_atom_site_label
_atom_site_type_symbol
_atom_site_fract_x
_atom_site_fract_y
_atom_site_fract_z
Rb1 Rb 0.000 0.250 0.375
Ni1 Ni 0.000 0.000 0.000
Os1 Os 0.000 0.250 0.875
# V (Å³ per atom): 25.59
# Energy of formation (eV/f.u.): 4.41
# DOS(E_F) (states/eV/cell): 19.4
# Energy above the most stable polymorph in this dataset (meV/atom): 0

***

Record 2
# RbNi2Os | Alexandria via LeMat-Bulk | PBE-GGA | optimized geometry
data_RbNi2Os
_cell_length_a 6.504
_cell_length_b 6.504
_cell_length_c 6.504
_cell_angle_alpha 90.00
_cell_angle_beta 90.00
_cell_angle_gamma 90.00
_space_group_name_H-M_alt 'F m -3 m'
_space_group_IT_number 225
_space_group_name_Hall '-F 4 2 3'
loop_
_atom_site_label
_atom_site_type_symbol
_atom_site_fract_x
_atom_site_fract_y
_atom_site_fract_z
Rb1 Rb 0.000 0.000 0.000
Ni1 Ni 0.250 0.250 0.250
Os1 Os 0.000 0.000 0.500
# V (Å³ per atom): 17.19
# Energy of formation (eV/f.u.): 6.31
# DOS(E_F) (states/eV/cell): 17.8
# Energy above the most stable polymorph in this dataset (meV/atom): 475

***

Record 3
# RbNiOs2 | Alexandria via LeMat-Bulk | PBE-GGA | optimized geometry
data_RbNiOs2
_cell_length_a 6.400
_cell_length_b 6.400
_cell_length_c 6.400
_cell_angle_alpha 90.00
_cell_angle_beta 90.00
_cell_angle_gamma 90.00
_space_group_name_H-M_alt 'F m -3 m'
_space_group_IT_number 225
_space_group_name_Hall '-F 4 2 3'
loop_
_atom_site_label
_atom_site_type_symbol
_atom_site_fract_x
_atom_site_fract_y
_atom_site_fract_z
Rb1 Rb 0.000 0.000 0.000
Ni1 Ni 0.000 0.000 0.500
Os1 Os 0.250 0.250 0.250
# V (Å³ per atom): 16.39
# Energy of formation (eV/f.u.): 9.07
# DOS(E_F) (states/eV/cell): 35.9
# Energy above the most stable polymorph in this dataset (meV/atom): 727